GGA-PBE Rb2CdIn6Pb, optimized geometry; mass density = 5.16 g/cm3; total magnetic moment = 0.000 μB/f.u.; calculated total energy = -2.301 eV per atom
1.0
4.033 2.329 13.467
-4.033 2.329 13.467
0.000 -4.657 13.467
Rb Cd In Pb
4 2 12 2
direct
0.154 0.154 0.154 Rb
0.288 0.288 0.288 Rb
0.712 0.712 0.712 Rb
0.846 0.846 0.846 Rb
0.000 0.000 0.000 Cd
0.500 0.500 0.500 Cd
0.161 0.584 0.584 In
0.183 0.809 0.809 In
0.191 0.191 0.817 In
0.191 0.817 0.191 In
0.416 0.416 0.839 In
0.416 0.839 0.416 In
0.584 0.161 0.584 In
0.584 0.584 0.161 In
0.809 0.183 0.809 In
0.809 0.809 0.183 In
0.817 0.191 0.191 In
0.839 0.416 0.416 In
0.376 0.376 0.376 Pb
0.624 0.624 0.624 Pb

=====

GGA-PBE Sc2Al8Pt, optimized geometry; mass density = 4.34 g/cm3; total magnetic moment = 0.000 μB/f.u.; calculated total energy = -4.986 eV per atom
1.0
4.189 0.000 0.000
0.000 4.189 0.000
0.000 0.000 10.906
Sc Al Pt
2 8 1
direct
0.000 0.000 0.185 Sc
0.000 0.000 0.815 Sc
0.000 0.500 0.000 Al
0.000 0.500 0.368 Al
0.000 0.500 0.632 Al
0.500 0.000 0.000 Al
0.500 0.000 0.368 Al
0.500 0.000 0.632 Al
0.500 0.500 0.190 Al
0.500 0.500 0.810 Al
0.000 0.000 0.500 Pt

=====

GGA-PBE ScCrAu2, optimized geometry; mass density = 10.18 g/cm3; total magnetic moment = 4.391 μB/f.u.; calculated total energy = -5.661 eV per atom
1.0
3.353 0.000 0.000
-1.676 2.904 0.000
0.000 0.000 24.669
Sc Cr Au
3 3 6
direct
0.000 0.000 0.000 Sc
0.333 0.667 0.667 Sc
0.667 0.333 0.333 Sc
0.000 0.000 0.500 Cr
0.333 0.667 0.167 Cr
0.667 0.333 0.833 Cr
0.000 0.000 0.251 Au
0.000 0.000 0.749 Au
0.333 0.667 0.416 Au
0.333 0.667 0.917 Au
0.667 0.333 0.083 Au
0.667 0.333 0.584 Au

=====

GGA-PBE La5Mg3, optimized geometry; mass density = 4.82 g/cm3; relative energy among the computed polymorphs = 82 meV/atom; total magnetic moment = 0.000 μB/f.u.
1.0
6.046 0.000 0.000
2.807 9.354 0.000
2.999 -0.006 9.357
La Mg
10 6
direct
0.000 0.000 0.000 La
0.024 0.658 0.808 La
0.152 0.830 0.357 La
0.331 0.208 0.638 La
0.459 0.379 0.187 La
0.485 0.038 0.995 La
0.513 0.830 0.639 La
0.649 0.380 0.808 La
0.835 0.658 0.187 La
0.971 0.208 0.357 La
0.063 0.348 0.998 Mg
0.421 0.689 0.998 Mg
0.493 0.519 0.495 Mg
0.576 0.019 0.327 Mg
0.909 0.019 0.668 Mg
0.991 0.518 0.500 Mg

=====

GGA-PBE Pr2Y12Tm, optimized geometry; mass density = 4.98 g/cm3; total magnetic moment = 0.000 μB/f.u.; calculated total energy = -5.941 eV per atom
1.0
3.551 -5.713 0.000
3.551 5.713 0.000
0.000 0.000 24.924
Pr Y Tm
4 24 2
direct
0.250 0.750 0.234 Pr
0.250 0.750 0.767 Pr
0.750 0.250 0.233 Pr
0.750 0.250 0.766 Pr
0.000 0.000 0.425 Y
0.000 0.000 0.575 Y
0.000 0.500 0.375 Y
0.000 0.500 0.625 Y
0.001 0.501 0.085 Y
0.001 0.999 0.938 Y
0.250 0.250 0.173 Y
0.250 0.250 0.303 Y
0.250 0.250 0.697 Y
0.250 0.250 0.827 Y
0.499 0.501 0.938 Y
0.499 0.999 0.085 Y
0.500 0.000 0.375 Y
0.500 0.000 0.625 Y
0.500 0.500 0.425 Y
0.500 0.500 0.575 Y
0.501 0.001 0.915 Y
0.501 0.499 0.062 Y
0.750 0.750 0.173 Y
0.750 0.750 0.303 Y
0.750 0.750 0.697 Y
0.750 0.750 0.827 Y
0.999 0.001 0.062 Y
0.999 0.499 0.915 Y
0.250 0.750 0.500 Tm
0.750 0.250 0.500 Tm

=====

GGA-PBE Ba2NaI2, optimized geometry; mass density = 4.14 g/cm3; relative energy among the computed polymorphs = 65 meV/atom; total magnetic moment = 0.000 μB/f.u.
1.0
10.210 0.000 0.000
0.000 10.210 0.000
0.000 0.000 4.241
Ba Na I
4 2 4
direct
0.160 0.340 0.000 Ba
0.340 0.840 0.000 Ba
0.660 0.160 0.000 Ba
0.840 0.660 0.000 Ba
0.000 0.000 0.000 Na
0.500 0.500 0.000 Na
0.134 0.634 0.500 I
0.366 0.134 0.500 I
0.634 0.866 0.500 I
0.866 0.366 0.500 I

=====

GGA-PBE PmMgIn2, optimized geometry; mass density = 6.55 g/cm3; total magnetic moment = 0.000 μB/f.u.; calculated total energy = -3.384 eV per atom
1.0
4.693 0.000 0.000
0.000 4.693 0.000
0.000 0.000 4.595
Pm Mg In
1 1 2
direct
0.000 0.000 0.000 Pm
0.500 0.500 0.000 Mg
0.000 0.500 0.500 In
0.500 0.000 0.500 In

=====

GGA-PBE InPHCl2, optimized geometry; mass density = 3.75 g/cm3; relative energy among the computed polymorphs = 0 meV/atom; total magnetic moment = 0.136 μB/f.u.
1.0
5.359 0.000 0.000
0.000 5.359 0.000
0.000 0.000 3.360
In P H Cl
1 1 1 2
direct
0.000 0.000 0.000 In
0.500 0.500 0.000 P
0.500 0.500 0.500 H
0.000 0.500 0.500 Cl
0.500 0.000 0.500 Cl

=====

GGA-PBE La3Pm4HoTe8, optimized geometry; mass density = 7.05 g/cm3; total magnetic moment = 0.000 μB/f.u.; calculated total energy = -5.420 eV per atom
1.0
4.507 2.602 7.310
-4.507 2.602 7.310
0.000 -5.204 7.310
La Pm Ho Te
3 4 1 8
direct
0.000 0.500 0.500 La
0.500 0.000 0.500 La
0.500 0.500 0.000 La
0.000 0.000 0.500 Pm
0.000 0.500 0.000 Pm
0.500 0.000 0.000 Pm
0.500 0.500 0.500 Pm
0.000 0.000 0.000 Ho
0.241 0.754 0.754 Te
0.246 0.246 0.759 Te
0.246 0.759 0.246 Te
0.248 0.248 0.248 Te
0.752 0.752 0.752 Te
0.754 0.241 0.754 Te
0.754 0.754 0.241 Te
0.759 0.246 0.246 Te

=====

GGA-PBE Li4Ac3In2, optimized geometry; mass density = 5.97 g/cm3; total magnetic moment = 0.000 μB/f.u.; calculated total energy = -3.008 eV per atom
1.0
5.811 -2.487 0.000
5.811 2.487 0.000
-2.592 0.000 9.023
Li Ac In
4 3 2
direct
0.103 0.103 0.154 Li
0.281 0.281 0.438 Li
0.719 0.719 0.562 Li
0.897 0.897 0.846 Li
0.000 0.000 0.500 Ac
0.396 0.396 0.135 Ac
0.604 0.604 0.865 Ac
0.288 0.288 0.742 In
0.712 0.712 0.258 In